DFT (PBE+U) results for a geometry-optimized SnBW2F structure.

Cell: 4.4191 4.4191 4.4341 Å, 90.00 90.00 90.00°
Last column: nearest neighbours and their distance in Å.
Atoms (fractional coordinates):
Sn: 0.0000 0.0000 0.0000  4 B 3.12, 8 W 3.13
B: 0.5000 0.5000 0.0000  2 F 2.22
W: 0.0000 0.5000 0.5000  2 F 2.21
W: 0.5000 0.0000 0.5000  2 F 2.21
F: 0.5000 0.5000 0.5000  4 W 2.21, 2 B 2.22

As for the total energy: -20.427 eV/cell. As for the space group: P4/mmm, No. 123. As for the total moment: 4.80 μB per formula unit. The density of states at the Fermi level is 2.38 states/eV/f.u.